1.
Compound: Dy2GaBi
Source: Alexandria
Functional: PBE-GGA
Structure: optimized geometry

Lattice parameters (Å, degrees): 3.9338 3.9338 6.7690 90.00 90.00 90.00
With the nearest neighbours (Å) after each atom.
Space group P4/mmm (No. 123)
Unique sites:
Dy1 0.0000 0.0000 0.2431 [2 per cell]  4 Ga 3.23, 4 Bi 3.28, 2 Dy 3.29-3.48
Ga1 0.5000 0.5000 0.0000 [1 per cell]  8 Dy 3.23, 2 Bi 3.38
Bi1 0.5000 0.5000 0.5000 [1 per cell]  8 Dy 3.28, 2 Ga 3.38

Results
Density in kg/m³: 9570
Formation enthalpy at 0 K in eV per atom: -0.54
Density of states at the Fermi level in states/eV per cell: 3.73
Calculated total energy in Ha/atom: -0.16794
Relative energy among the computed polymorphs in meV per atom: 150

2.
Compound: DyGaBi2
Source: Alexandria
Functional: PBE-GGA
Structure: optimized geometry

Lattice parameters (Å, degrees): 4.9505 4.9505 24.4825 90.00 90.00 120.00
With the nearest neighbours (Å) after each atom.
Space group R-3m (No. 166, hexagonal axes)
Unique sites:
Dy1 0.0000 0.0000 0.0000 [3 per cell]  6 Bi 3.20
Ga1 0.0000 0.0000 0.5000 [3 per cell]  2 Bi 2.64
Bi1 0.0000 0.0000 0.3923 [6 per cell]  1 Ga 2.64

Results
Density in kg/m³: 6233
Formation enthalpy at 0 K in eV per atom: 0.03
Density of states at the Fermi level in states/eV per cell: 2.58
Calculated total energy in Ha/atom: -0.14025
Relative energy among the computed polymorphs in meV per atom: 397

3.
Compound: Dy6Ga2Bi
Source: Alexandria
Functional: PBE-GGA
Structure: optimized geometry

Lattice parameters (Å, degrees): 9.5935 9.6876 10.7537 90.00 90.00 90.00
With the nearest neighbours (Å) after each atom.
Space group Immm (No. 71)
Unique sites:
Dy1 0.0000 0.1998 0.1802 [8 per cell]  3 Ga 2.90-3.06
Dy2 0.1858 0.2202 0.5000 [8 per cell]  3 Ga 3.06-3.17, 1 Bi 3.24
Dy3 0.2069 0.5000 0.2596 [8 per cell]  2 Ga 2.96-3.19, 1 Bi 3.26
Ga1 0.0000 0.0000 0.3813 [4 per cell]  1 Ga 2.55
Ga2 0.1428 0.0000 0.0000 [4 per cell]  1 Ga 2.74, 6 Dy 2.96-3.06
Bi1 0.0000 0.5000 0.0000 [2 per cell]  12 Dy 3.43-3.69
Bi2 0.0000 0.5000 0.5000 [2 per cell]  8 Dy 3.24-3.26, 2 Ga 3.43

Results
Density in kg/m³: 8795
Formation enthalpy at 0 K in eV per atom: -0.45
Density of states at the Fermi level in states/eV per cell: 36.42
Calculated total energy in Ha/atom: -0.17003

4.
Compound: Dy3Ga5Bi12
Source: Alexandria
Functional: PBE-GGA
Structure: optimized geometry

Lattice parameters (Å, degrees): 17.7849 17.7849 17.7849 90.00 90.00 90.00
With the nearest neighbours (Å) after each atom.
Space group Ia-3d (No. 230)
Unique sites:
Dy1 0.0000 0.2500 0.1250 [24 per cell]  8 Bi 3.15-3.31
Ga1 0.0000 0.0000 0.0000 [16 per cell]  6 Bi 3.18
Ga2 0.0000 0.2500 0.3750 [24 per cell]  4 Bi 2.84
Bi1 0.0183 0.0772 0.6602 [96 per cell]  1 Ga 2.84, 1 Dy 3.15

Results
Density in kg/m³: 7897
Formation enthalpy at 0 K in eV per atom: -0.02
Density of states at the Fermi level in states/eV per cell: 113.83
Calculated total energy in Ha/atom: -0.13952

5.
Compound: Dy5Ga2Bi2
Source: Alexandria
Functional: PBE-GGA
Structure: optimized geometry

Lattice parameters (Å, degrees): 15.5777 8.0022 8.0093 90.00 90.00 90.00
With the nearest neighbours (Å) after each atom.
Space group Cmce (No. 64)
Unique sites:
Dy1 0.0000 0.0000 0.0000 [4 per cell]  4 Ga 3.16-3.17, 2 Bi 3.24
Dy2 0.1265 0.1694 0.3312 [16 per cell]  3 Ga 3.05-3.10, 3 Bi 3.21-3.24
Ga1 0.0000 0.1262 0.6253 [8 per cell]  1 Ga 2.85, 8 Dy 3.05-3.17
Bi1 0.2079 0.0000 0.0000 [8 per cell]  7 Dy 3.21-3.24

Results
Density in kg/m³: 9114
Formation enthalpy at 0 K in eV per atom: -0.71
Density of states at the Fermi level in states/eV per cell: 24.11
Calculated total energy in Ha/atom: -0.17643

6.
Compound: Dy2GaBi
Source: Alexandria
Functional: PBE-GGA
Structure: optimized geometry

Lattice parameters (Å, degrees): 4.4614 23.4513 4.2776 90.00 90.00 90.00
With the nearest neighbours (Å) after each atom.
Space group Cmcm (No. 63)
Unique sites:
Dy1 0.0000 0.0590 0.2500 [4 per cell]  1 Bi 3.09, 6 Ga 3.14-3.15
Dy2 0.0000 0.3272 0.2500 [4 per cell]  5 Bi 3.12-3.20, 1 Ga 3.21
Ga1 0.0000 0.4640 0.2500 [4 per cell]  2 Ga 2.73
Bi1 0.0000 0.1910 0.2500 [4 per cell]  6 Dy 3.09-3.20

Results
Density in kg/m³: 8960
Formation enthalpy at 0 K in eV per atom: -0.69
Density of states at the Fermi level in states/eV per cell: 7.81
Calculated total energy in Ha/atom: -0.17345
Relative energy among the computed polymorphs in meV per atom: 0

7.
Compound: Dy7Ga5Bi
Source: Alexandria
Functional: PBE-GGA
Structure: optimized geometry

Lattice parameters (Å, degrees): 6.1318 10.4797 10.2508 90.00 90.00 90.00
With the nearest neighbours (Å) after each atom.
Space group Imm2 (No. 44)
Unique sites:
Dy1 0.0000 0.0000 0.0000 [2 per cell]  1 Bi 3.27, 4 Ga 3.32, 4 Dy 3.46-3.55
Dy2 0.0000 0.0000 0.3724 [2 per cell]  6 Ga 3.06-3.07, 1 Bi 3.17
Dy3 0.0000 0.3212 0.6249 [4 per cell]  5 Ga 2.98-3.14
Dy4 0.0000 0.3272 0.0898 [4 per cell]  3 Ga 2.92-3.04, 1 Dy 3.17
Dy5 0.0000 0.5000 0.3440 [2 per cell]  4 Ga 2.99, 2 Dy 3.17
Ga1 0.0000 0.5000 0.8512 [2 per cell]  6 Dy 2.98-3.07, 4 Ga 3.09
Ga2 0.2443 0.2543 0.3647 [8 per cell]  5 Dy 2.92-3.14, 3 Ga 3.00-3.14
Bi1 0.0000 0.0000 0.6814 [2 per cell]  6 Dy 3.17-3.49

Results
Density in kg/m³: 8546
Formation enthalpy at 0 K in eV per atom: -0.41
Density of states at the Fermi level in states/eV per cell: 22.79
Calculated total energy in Ha/atom: -0.15982

8.
Compound: DyGaBi
Source: Alexandria
Functional: PBE-GGA
Structure: optimized geometry

Lattice parameters (Å, degrees): 3.8210 3.8210 10.5760 90.00 90.00 90.00
With the nearest neighbours (Å) after each atom.
Space group I4mm (No. 107)
Unique sites:
Dy1 0.0000 0.0000 0.0000 [2 per cell]  5 Ga 3.24-3.50, 5 Bi 3.28-3.37
Ga1 0.0000 0.0000 0.3313 [2 per cell]  4 Bi 3.09, 4 Dy 3.24
Bi1 0.0000 0.0000 0.6898 [2 per cell]  4 Ga 3.09, 5 Dy 3.28-3.37

Results
Density in kg/m³: 9489
Formation enthalpy at 0 K in eV per atom: -0.32
Density of states at the Fermi level in states/eV per cell: 6.69
Calculated total energy in Ha/atom: -0.15265

> Number 1 is which compound?

Dy2GaBi

Copy entry 3 word for word.
Compound: Dy6Ga2Bi
Source: Alexandria
Functional: PBE-GGA
Structure: optimized geometry

Lattice parameters (Å, degrees): 9.5935 9.6876 10.7537 90.00 90.00 90.00
With the nearest neighbours (Å) after each atom.
Space group Immm (No. 71)
Unique sites:
Dy1 0.0000 0.1998 0.1802 [8 per cell]  3 Ga 2.90-3.06
Dy2 0.1858 0.2202 0.5000 [8 per cell]  3 Ga 3.06-3.17, 1 Bi 3.24
Dy3 0.2069 0.5000 0.2596 [8 per cell]  2 Ga 2.96-3.19, 1 Bi 3.26
Ga1 0.0000 0.0000 0.3813 [4 per cell]  1 Ga 2.55
Ga2 0.1428 0.0000 0.0000 [4 per cell]  1 Ga 2.74, 6 Dy 2.96-3.06
Bi1 0.0000 0.5000 0.0000 [2 per cell]  12 Dy 3.43-3.69
Bi2 0.0000 0.5000 0.5000 [2 per cell]  8 Dy 3.24-3.26, 2 Ga 3.43

Results
Density in kg/m³: 8795
Formation enthalpy at 0 K in eV per atom: -0.45
Density of states at the Fermi level in states/eV per cell: 36.42
Calculated total energy in Ha/atom: -0.17003

> What is the formation enthalpy at 0 K in the fifth record?

-0.71 eV per atom